[1]
# MnH2W | Alexandria via LeMat-Bulk | SCAN | PBEsol geometry
data_MnH2W
_cell_length_a 4.0123
_cell_length_b 4.0123
_cell_length_c 4.8929
_cell_angle_alpha 114.21
_cell_angle_beta 114.21
_cell_angle_gamma 90.00
_symmetry_space_group_name_H-M 'P 1'
_symmetry_Int_Tables_number 1
loop_
_symmetry_equiv_pos_as_xyz
'x,y,z'
loop_
_atom_site_label
_atom_site_fract_x
_atom_site_fract_y
_atom_site_fract_z
H1 0.1250 0.1667 0.7500
H2 0.8333 0.3750 0.2500
H3 0.4167 0.8750 0.2500
H4 0.6250 0.5833 0.7500
W1 0.0000 0.0000 0.0000
W2 0.2500 0.7500 0.5000
Mn1 0.5000 0.5000 0.0000
Mn2 0.7500 0.2500 0.5000
# N(E_F)	3.08	states/eV per cell
# energy	-23.507	eV per atom
# volume	64	Å³ per cell
# total magnetization	4.54	μB/cell
# symmetry	I-42d (122)

---

[2]
# Bi9Rh2Br3 | Alexandria via LeMat-Bulk | SCAN | PBEsol geometry
data_Bi9Rh2Br3
_cell_length_a 9.2393
_cell_length_b 13.6537
_cell_length_c 19.7024
_cell_angle_alpha 90.00
_cell_angle_beta 101.60
_cell_angle_gamma 90.00
_symmetry_space_group_name_H-M 'P 1'
_symmetry_Int_Tables_number 1
loop_
_symmetry_equiv_pos_as_xyz
'x,y,z'
loop_
_atom_site_label
_atom_site_fract_x
_atom_site_fract_y
_atom_site_fract_z
Rh1 0.4644 0.1007 0.0113
Rh2 0.5356 0.8993 0.9887
Rh3 0.1870 0.3995 0.3424
Rh4 0.0930 0.8999 0.3203
Rh5 0.9070 0.1001 0.6797
Rh6 0.8130 0.6005 0.6576
Rh7 0.5356 0.6007 0.9887
Rh8 0.9070 0.3999 0.6797
Rh9 0.0930 0.6001 0.3203
Rh10 0.1870 0.1005 0.3424
Rh11 0.4644 0.3993 0.0113
Rh12 0.8130 0.8995 0.6576
Bi1 0.7780 0.8659 0.9281
Bi2 0.2220 0.3659 0.0719
Bi3 0.9274 0.2500 0.7837
Bi4 0.0561 0.9674 0.6097
Bi5 0.9726 0.2500 0.3000
Bi6 0.4958 0.0335 0.8801
Bi7 0.4835 0.1342 0.3970
Bi8 0.2016 0.3657 0.7406
Bi9 0.5042 0.9665 0.1199
Bi10 0.7455 0.4638 0.5499
Bi11 0.4652 0.7500 0.8851
Bi12 0.6541 0.4641 0.7220
Bi13 0.7780 0.6341 0.9281
Bi14 0.9612 0.5344 0.7875
Bi15 0.3459 0.9641 0.2780
Bi16 0.7984 0.8657 0.2594
Bi17 0.2220 0.1341 0.0719
Bi18 0.2803 0.2500 0.9388
Bi19 0.2545 0.5362 0.4501
Bi20 0.5042 0.5335 0.1199
Bi21 0.3005 0.2500 0.2668
Bi22 0.0274 0.7500 0.7000
Bi23 0.7521 0.0349 0.0518
Bi24 0.3459 0.5359 0.2780
Bi25 0.2545 0.9638 0.4501
Bi26 0.2479 0.5349 0.9482
Bi27 0.6995 0.7500 0.7332
Bi28 0.3077 0.7500 0.3638
Bi29 0.0388 0.4656 0.2125
Bi30 0.9746 0.7500 0.3926
Bi31 0.7984 0.6343 0.2594
Bi32 0.7197 0.7500 0.0612
Bi33 0.6380 0.2500 0.9647
Bi34 0.9439 0.4674 0.3903
Bi35 0.7455 0.0362 0.5499
Bi36 0.9439 0.0326 0.3903
Bi37 0.6541 0.0359 0.7220
Bi38 0.5165 0.8658 0.6030
Bi39 0.2479 0.9651 0.9482
Bi40 0.2188 0.2500 0.4462
Bi41 0.0388 0.0344 0.2125
Bi42 0.0561 0.5326 0.6097
Bi43 0.5165 0.6342 0.6030
Bi44 0.3620 0.7500 0.0353
Bi45 0.7812 0.7500 0.5538
Bi46 0.2016 0.1343 0.7406
Bi47 0.7521 0.4651 0.0518
Bi48 0.4958 0.4665 0.8801
Bi49 0.5348 0.2500 0.1149
Bi50 0.6923 0.2500 0.6362
Bi51 0.0254 0.2500 0.6074
Bi52 0.0726 0.7500 0.2163
Bi53 0.9612 0.9656 0.7875
Bi54 0.4835 0.3658 0.3970
Br1 0.3486 0.8964 0.7383
Br2 0.6495 0.6055 0.4094
Br3 0.5713 0.2500 0.7965
Br4 0.8984 0.2500 0.1272
Br5 0.4287 0.7500 0.2035
Br6 0.6495 0.8945 0.4094
Br7 0.9374 0.1062 0.9267
Br8 0.8332 0.2500 0.4541
Br9 0.6514 0.3964 0.2617
Br10 0.6514 0.1036 0.2617
Br11 0.1668 0.7500 0.5459
Br12 0.3505 0.3945 0.5906
Br13 0.3505 0.1055 0.5906
Br14 0.0626 0.8938 0.0733
Br15 0.0626 0.6062 0.0733
Br16 0.3486 0.6036 0.7383
Br17 0.9374 0.3938 0.9267
Br18 0.1016 0.7500 0.8728
# N(E_F)	0.68	states/eV per cell
# volume	2435	Å³ per cell
# total magnetization	0.00	μB/cell
# raw formation energy	-0.2437	eV per atom
# symmetry	P2_1/m (11)

---

[3]
# TeSe2NCl | Alexandria via LeMat-Bulk | SCAN | PBEsol geometry
data_TeSe2NCl
_cell_length_a 5.2897
_cell_length_b 5.2702
_cell_length_c 5.2702
_cell_angle_alpha 90.00
_cell_angle_beta 90.00
_cell_angle_gamma 90.00
_symmetry_space_group_name_H-M 'P 1'
_symmetry_Int_Tables_number 1
loop_
_symmetry_equiv_pos_as_xyz
'x,y,z'
loop_
_atom_site_label
_atom_site_fract_x
_atom_site_fract_y
_atom_site_fract_z
Se1 0.0000 0.5000 0.0000
Se2 0.0000 0.0000 0.5000
Cl1 0.5000 0.0000 0.0000
N1 0.5000 0.5000 0.5000
Te1 0.0000 0.0000 0.0000
# N(E_F)	1.85	states/eV per cell
# volume	147	Å³ per cell
# total magnetization	2.01	μB/cell
# raw formation energy	1.1368	eV per atom
# symmetry	P4/mmm (123)